# 1
Computed, not measured: LiSm2Al4Pt3 after structural relaxation at the GGA-PBE level of DFT.

```
data_LiSm2Al4Pt3
_chemical_formula_sum 'Li1 Sm2 Al4 Pt3'
_space_group_name_H-M_alt 'P 1'
_space_group_IT_number 1
_cell_length_a 4.2366
_cell_length_b 4.2366
_cell_length_c 10.6172
_cell_angle_alpha 90.00
_cell_angle_beta 90.00
_cell_angle_gamma 90.00
loop_
_space_group_symop_operation_xyz
'x,y,z'
loop_
_atom_site_label
_atom_site_type_symbol
_atom_site_fract_x
_atom_site_fract_y
_atom_site_fract_z
Li1 Li 0.0000 0.0000 0.0000
Sm1 Sm 0.0000 0.5000 0.7441
Sm2 Sm 0.5000 0.0000 0.2559
Al1 Al 0.0000 0.0000 0.5000
Al2 Al 0.0000 0.5000 0.1303
Al3 Al 0.5000 0.0000 0.8697
Al4 Al 0.5000 0.5000 0.5000
Pt1 Pt 0.0000 0.5000 0.3657
Pt2 Pt 0.5000 0.0000 0.6343
Pt3 Pt 0.5000 0.5000 0.0000
```

Properties
The formation enthalpy at 0 K is -0.9485 eV per atom. As for the space group: No. 115.

***

# 2
Computed, not measured: LiSm2AlPt6 after structural relaxation at the GGA-PBE level of DFT.

```
data_LiSm2AlPt6
_chemical_formula_sum 'Li1 Sm2 Al1 Pt6'
_space_group_name_H-M_alt 'P 1'
_space_group_IT_number 1
_cell_length_a 8.5703
_cell_length_b 8.5703
_cell_length_c 8.5703
_cell_angle_alpha 38.32
_cell_angle_beta 38.32
_cell_angle_gamma 38.32
loop_
_space_group_symop_operation_xyz
'x,y,z'
loop_
_atom_site_label
_atom_site_type_symbol
_atom_site_fract_x
_atom_site_fract_y
_atom_site_fract_z
Li1 Li 0.0000 0.0000 0.0000
Sm1 Sm 0.2025 0.2025 0.2025
Sm2 Sm 0.7975 0.7975 0.7975
Al1 Al 0.5000 0.5000 0.5000
Pt1 Pt 0.2393 0.7465 0.7465
Pt2 Pt 0.2535 0.2535 0.7607
Pt3 Pt 0.2535 0.7607 0.2535
Pt4 Pt 0.7465 0.2393 0.7465
Pt5 Pt 0.7465 0.7465 0.2393
Pt6 Pt 0.7607 0.2535 0.2535
```

Properties
The formation enthalpy at 0 K is -0.8390 eV per atom. As for the space group: No. 166.

***

# 3
Computed, not measured: LiSmAl2Pt4 after structural relaxation at the GGA-PBE level of DFT.

```
data_LiSmAl2Pt4
_chemical_formula_sum 'Li1 Sm1 Al2 Pt4'
_space_group_name_H-M_alt 'P 1'
_space_group_IT_number 1
_cell_length_a 8.9004
_cell_length_b 8.9004
_cell_length_c 8.9004
_cell_angle_alpha 27.73
_cell_angle_beta 27.73
_cell_angle_gamma 27.73
loop_
_space_group_symop_operation_xyz
'x,y,z'
loop_
_atom_site_label
_atom_site_type_symbol
_atom_site_fract_x
_atom_site_fract_y
_atom_site_fract_z
Li1 Li 0.0000 0.0000 0.0000
Sm1 Sm 0.5000 0.5000 0.5000
Al1 Al 0.2644 0.2644 0.2644
Al2 Al 0.7356 0.7356 0.7356
Pt1 Pt 0.0961 0.0961 0.0961
Pt2 Pt 0.3676 0.3676 0.3676
Pt3 Pt 0.6324 0.6324 0.6324
Pt4 Pt 0.9039 0.9039 0.9039
```

Properties
The formation enthalpy at 0 K is -1.0243 eV per atom. As for the space group: No. 166.

***

# 4
Computed, not measured: LiSm2Al3Pt4 after structural relaxation at the GGA-PBE level of DFT.

```
data_LiSm2Al3Pt4
_chemical_formula_sum 'Li1 Sm2 Al3 Pt4'
_space_group_name_H-M_alt 'P 1'
_space_group_IT_number 1
_cell_length_a 4.1249
_cell_length_b 4.1249
_cell_length_c 10.9796
_cell_angle_alpha 90.00
_cell_angle_beta 90.00
_cell_angle_gamma 90.00
loop_
_space_group_symop_operation_xyz
'x,y,z'
loop_
_atom_site_label
_atom_site_type_symbol
_atom_site_fract_x
_atom_site_fract_y
_atom_site_fract_z
Li1 Li 0.0000 0.0000 0.0000
Sm1 Sm 0.0000 0.5000 0.7522
Sm2 Sm 0.5000 0.0000 0.2478
Al1 Al 0.0000 0.5000 0.3699
Al2 Al 0.5000 0.0000 0.6301
Al3 Al 0.5000 0.5000 0.0000
Pt1 Pt 0.0000 0.0000 0.5000
Pt2 Pt 0.0000 0.5000 0.1415
Pt3 Pt 0.5000 0.0000 0.8585
Pt4 Pt 0.5000 0.5000 0.5000
```

Properties
The formation enthalpy at 0 K is -1.0316 eV per atom. As for the space group: No. 115.

***

# 5
Computed, not measured: LiSm2AlPt2 after structural relaxation at the GGA-PBE level of DFT.

```
data_LiSm2AlPt2
_chemical_formula_sum 'Li2 Sm4 Al2 Pt4'
_space_group_name_H-M_alt 'P 1'
_space_group_IT_number 1
_cell_length_a 8.4286
_cell_length_b 8.4286
_cell_length_c 8.4286
_cell_angle_alpha 139.52
_cell_angle_beta 58.77
_cell_angle_gamma 139.27
loop_
_space_group_symop_operation_xyz
'x,y,z'
loop_
_atom_site_label
_atom_site_type_symbol
_atom_site_fract_x
_atom_site_fract_y
_atom_site_fract_z
Li1 Li 0.2500 0.2500 0.0000
Li2 Li 0.7500 0.7500 0.0000
Sm1 Sm 0.1706 0.2231 0.3936
Sm2 Sm 0.3294 0.7231 0.0525
Sm3 Sm 0.6706 0.2769 0.9475
Sm4 Sm 0.8294 0.7769 0.6064
Al1 Al 0.2500 0.7500 0.5000
Al2 Al 0.7500 0.2500 0.5000
Pt1 Pt 0.1194 0.7232 0.8427
Pt2 Pt 0.3806 0.2232 0.6038
Pt3 Pt 0.6194 0.7768 0.3962
Pt4 Pt 0.8806 0.2768 0.1573
```

Properties
The formation enthalpy at 0 K is -0.9354 eV per atom. As for the space group: No. 72.

***

# 6
Computed, not measured: LiAlSn2Pt after structural relaxation at the GGA-PBE level of DFT.

```
data_LiAlSn2Pt
_chemical_formula_sum 'Li1 Al1 Sn2 Pt1'
_space_group_name_H-M_alt 'P 1'
_space_group_IT_number 1
_cell_length_a 5.1564
_cell_length_b 5.1564
_cell_length_c 4.7413
_cell_angle_alpha 90.00
_cell_angle_beta 90.00
_cell_angle_gamma 90.00
loop_
_space_group_symop_operation_xyz
'x,y,z'
loop_
_atom_site_label
_atom_site_type_symbol
_atom_site_fract_x
_atom_site_fract_y
_atom_site_fract_z
Li1 Li 0.0000 0.0000 0.0000
Al1 Al 0.5000 0.5000 0.0000
Sn1 Sn 0.0000 0.5000 0.5000
Sn2 Sn 0.5000 0.0000 0.5000
Pt1 Pt 0.0000 0.0000 0.5000
```

Properties
The formation enthalpy at 0 K is 0.0176 eV per atom. As for the space group: No. 123.

***

# 7
Computed, not measured: SrLiAlPt after structural relaxation at the GGA-PBE level of DFT.

```
data_SrLiAlPt
_chemical_formula_sum 'Sr3 Li3 Al3 Pt3'
_space_group_name_H-M_alt 'P 1'
_space_group_IT_number 1
_cell_length_a 4.4312
_cell_length_b 4.4312
_cell_length_c 16.1053
_cell_angle_alpha 90.00
_cell_angle_beta 90.00
_cell_angle_gamma 120.00
loop_
_space_group_symop_operation_xyz
'x,y,z'
loop_
_atom_site_label
_atom_site_type_symbol
_atom_site_fract_x
_atom_site_fract_y
_atom_site_fract_z
Sr1 Sr 0.0000 0.0000 0.0000
Sr2 Sr 0.3333 0.6667 0.6667
Sr3 Sr 0.6667 0.3333 0.3333
Li1 Li 0.0000 0.0000 0.8098
Li2 Li 0.3333 0.6667 0.4764
Li3 Li 0.6667 0.3333 0.1431
Al1 Al 0.0000 0.0000 0.5224
Al2 Al 0.3333 0.6667 0.1890
Al3 Al 0.6667 0.3333 0.8557
Pt1 Pt 0.0000 0.0000 0.1973
Pt2 Pt 0.3333 0.6667 0.8640
Pt3 Pt 0.6667 0.3333 0.5307
```

Properties
The formation enthalpy at 0 K is -0.6850 eV per atom. As for the space group: No. 160.

***

# 8
Computed, not measured: SrLiAl2Pt after structural relaxation at the GGA-PBE level of DFT.

```
data_SrLiAl2Pt
_chemical_formula_sum 'Sr1 Li1 Al2 Pt1'
_space_group_name_H-M_alt 'P 1'
_space_group_IT_number 1
_cell_length_a 4.8044
_cell_length_b 4.8044
_cell_length_c 4.9958
_cell_angle_alpha 90.00
_cell_angle_beta 90.00
_cell_angle_gamma 90.00
loop_
_space_group_symop_operation_xyz
'x,y,z'
loop_
_atom_site_label
_atom_site_type_symbol
_atom_site_fract_x
_atom_site_fract_y
_atom_site_fract_z
Sr1 Sr 0.0000 0.0000 0.0000
Li1 Li 0.5000 0.5000 0.0000
Al1 Al 0.0000 0.5000 0.5000
Al2 Al 0.5000 0.0000 0.5000
Pt1 Pt 0.5000 0.5000 0.5000
```

Properties
The formation enthalpy at 0 K is -0.4818 eV per atom. As for the space group: No. 123.

***

# 9
Computed, not measured: SrLiAl2Pt after structural relaxation at the GGA-PBE level of DFT.

```
data_SrLiAl2Pt
_chemical_formula_sum 'Sr1 Li1 Al2 Pt1'
_space_group_name_H-M_alt 'P 1'
_space_group_IT_number 1
_cell_length_a 4.6278
_cell_length_b 4.6278
_cell_length_c 4.7168
_cell_angle_alpha 90.00
_cell_angle_beta 90.00
_cell_angle_gamma 90.00
loop_
_space_group_symop_operation_xyz
'x,y,z'
loop_
_atom_site_label
_atom_site_type_symbol
_atom_site_fract_x
_atom_site_fract_y
_atom_site_fract_z
Sr1 Sr 0.0000 0.0000 0.0000
Li1 Li 0.5000 0.5000 0.5000
Al1 Al 0.0000 0.5000 0.5000
Al2 Al 0.5000 0.0000 0.5000
Pt1 Pt 0.5000 0.5000 0.0000
```

Properties
The formation enthalpy at 0 K is -0.0677 eV per atom. As for the space group: No. 123.

***

# 10
Computed, not measured: Sr2LiAl12Pt3 after structural relaxation at the GGA-PBE level of DFT.

```
data_Sr2LiAl12Pt3
_chemical_formula_sum 'Sr2 Li1 Al12 Pt3'
_space_group_name_H-M_alt 'P 1'
_space_group_IT_number 1
_cell_length_a 8.0114
_cell_length_b 8.0114
_cell_length_c 8.0114
_cell_angle_alpha 70.31
_cell_angle_beta 70.31
_cell_angle_gamma 70.31
loop_
_space_group_symop_operation_xyz
'x,y,z'
loop_
_atom_site_label
_atom_site_type_symbol
_atom_site_fract_x
_atom_site_fract_y
_atom_site_fract_z
Sr1 Sr 0.1068 0.1068 0.1068
Sr2 Sr 0.8932 0.8932 0.8932
Li1 Li 0.5000 0.5000 0.5000
Al1 Al 0.1550 0.6273 0.6273
Al2 Al 0.2483 0.2483 0.6227
Al3 Al 0.2483 0.6227 0.2483
Al4 Al 0.3727 0.3727 0.8450
Al5 Al 0.3727 0.8450 0.3727
Al6 Al 0.3773 0.7517 0.7517
Al7 Al 0.6227 0.2483 0.2483
Al8 Al 0.6273 0.1550 0.6273
Al9 Al 0.6273 0.6273 0.1550
Al10 Al 0.7517 0.3773 0.7517
Al11 Al 0.7517 0.7517 0.3773
Al12 Al 0.8450 0.3727 0.3727
Pt1 Pt 0.0000 0.5000 0.5000
Pt2 Pt 0.5000 0.0000 0.5000
Pt3 Pt 0.5000 0.5000 0.0000
```

Properties
The formation enthalpy at 0 K is -0.1651 eV per atom. As for the space group: No. 166.

***

# 11
Computed, not measured: Sr2LiAl3Pt4 after structural relaxation at the GGA-PBE level of DFT.

```
data_Sr2LiAl3Pt4
_chemical_formula_sum 'Sr2 Li1 Al3 Pt4'
_space_group_name_H-M_alt 'P 1'
_space_group_IT_number 1
_cell_length_a 4.4032
_cell_length_b 4.4032
_cell_length_c 10.2900
_cell_angle_alpha 90.00
_cell_angle_beta 90.00
_cell_angle_gamma 90.00
loop_
_space_group_symop_operation_xyz
'x,y,z'
loop_
_atom_site_label
_atom_site_type_symbol
_atom_site_fract_x
_atom_site_fract_y
_atom_site_fract_z
Sr1 Sr 0.0000 0.5000 0.2494
Sr2 Sr 0.5000 0.0000 0.7506
Li1 Li 0.0000 0.0000 0.5000
Al1 Al 0.0000 0.5000 0.8799
Al2 Al 0.5000 0.0000 0.1201
Al3 Al 0.5000 0.5000 0.5000
Pt1 Pt 0.0000 0.0000 0.0000
Pt2 Pt 0.0000 0.5000 0.6343
Pt3 Pt 0.5000 0.0000 0.3657
Pt4 Pt 0.5000 0.5000 0.0000
```

Properties
The formation enthalpy at 0 K is -0.9278 eV per atom. As for the space group: No. 115.

***

# 12
Computed, not measured: Sr2LiAlPt after structural relaxation at the GGA-PBE level of DFT.

```
data_Sr2LiAlPt
_chemical_formula_sum 'Sr2 Li1 Al1 Pt1'
_space_group_name_H-M_alt 'P 1'
_space_group_IT_number 1
_cell_length_a 5.9446
_cell_length_b 5.9446
_cell_length_c 4.8225
_cell_angle_alpha 90.00
_cell_angle_beta 90.00
_cell_angle_gamma 90.00
loop_
_space_group_symop_operation_xyz
'x,y,z'
loop_
_atom_site_label
_atom_site_type_symbol
_atom_site_fract_x
_atom_site_fract_y
_atom_site_fract_z
Sr1 Sr 0.0000 0.5000 0.0000
Sr2 Sr 0.5000 0.0000 0.0000
Li1 Li 0.0000 0.0000 0.5000
Al1 Al 0.5000 0.5000 0.5000
Pt1 Pt 0.5000 0.5000 0.0000
```

Properties
The formation enthalpy at 0 K is -0.3946 eV per atom. As for the space group: No. 123.

***

| no. | D(E_F) (states/eV/cell) |
| --- | --- |
| 1 | 6.836 |
| 2 | 3.884 |
| 3 | 3.263 |
| 4 | 5.312 |
| 5 | 8.342 |
| 6 | 2.429 |
| 7 | 7.811 |
| 8 | 3.623 |
| 9 | 2.377 |
| 10 | 9.915 |
| 11 | 6.373 |
| 12 | 2.830 |